1.
## MgSiBr2N (PBE)

Data for a relaxed MgSiBr2N crystal.

The structure in POSCAR format:
```
MgSiBr2N
1.0
5.358 0.000 0.000
0.000 5.358 0.000
0.000 0.000 4.017
Mg Si Br N
1 1 2 1
direct
0.000 0.000 0.000
0.500 0.500 0.500
0.000 0.500 0.000
0.500 0.000 0.000
0.000 0.000 0.500
```

Values from the calculation:
Crystal system: tetragonal
Space-group type: P4/mmm, No. 123
Formation energy without anion corrections in meV per atom: 474
M_tot in μB per formula unit: 1.18
DOS(E_F) in states/eV/cell: 2.21

---

2.
## SrMg2BrN (PBE)

Data for a relaxed SrMg2BrN crystal.

The structure in POSCAR format:
```
SrMg2BrN
1.0
7.024 0.000 0.000
0.000 7.024 0.000
0.000 0.000 5.713
Sr Mg Br N
1 2 1 1
direct
0.000 0.000 0.000
0.000 0.500 0.000
0.500 0.000 0.000
0.000 0.000 0.500
0.500 0.500 0.500
```

Values from the calculation:
Crystal system: tetragonal
Space-group type: P4/mmm, No. 123
Formation energy without anion corrections in meV per atom: 1232
M_tot in μB per formula unit: 0.68
DOS(E_F) in states/eV/cell: 21.74

---

3.
## Na4MgBr6 (PBE)

Data for a relaxed Na4MgBr6 crystal.

The structure in POSCAR format:
```
Na4MgBr6
1.0
6.987 -3.999 0.000
6.987 3.999 0.000
-5.226 0.000 13.388
Na Mg Br
8 2 12
direct
0.107 0.893 0.500
0.241 0.475 0.011
0.458 0.810 0.851
0.475 0.241 0.511
0.669 0.950 0.188
0.810 0.458 0.351
0.893 0.107 0.000
0.950 0.669 0.688
0.284 0.847 0.256
0.847 0.284 0.756
0.084 0.665 0.199
0.088 0.555 0.509
0.096 0.176 0.208
0.159 0.745 0.889
0.176 0.096 0.708
0.436 0.861 0.438
0.555 0.088 0.009
0.570 0.634 0.168
0.634 0.570 0.668
0.665 0.084 0.699
0.745 0.159 0.389
0.861 0.436 0.938
```

Values from the calculation:
Crystal system: monoclinic
Space-group type: Cc, No. 9
Formation energy without anion corrections in meV per atom: -1491
M_tot in μB per formula unit: 0.00
DOS(E_F) in states/eV/cell: 0.00

---

4.
## Na2MgBr4 (PBE)

Data for a relaxed Na2MgBr4 crystal.

The structure in POSCAR format:
```
Na2MgBr4
1.0
-2.667 2.667 7.504
2.667 -2.667 7.504
2.667 2.667 -7.504
Na Mg Br
2 1 4
direct
0.137 0.137 0.000
0.863 0.863 0.000
0.500 0.500 0.000
0.000 0.500 0.500
0.325 0.325 0.000
0.500 0.000 0.500
0.675 0.675 0.000
```

Values from the calculation:
Crystal system: tetragonal
Space-group type: I4/mmm, No. 139
Formation energy without anion corrections in meV per atom: -1404
M_tot in μB per formula unit: 0.00
DOS(E_F) in states/eV/cell: 0.00

---

5.
## Na3MgBr (PBE)

Data for a relaxed Na3MgBr crystal.

The structure in POSCAR format:
```
Na3MgBr
1.0
5.674 0.000 0.000
0.000 5.674 0.000
0.000 0.000 5.674
Na Mg Br
3 1 1
direct
0.000 0.000 0.500
0.000 0.500 0.000
0.500 0.000 0.000
0.500 0.500 0.500
0.000 0.000 0.000
```

Values from the calculation:
Crystal system: cubic
Relative energy among the computed polymorphs in kcal/mol of atoms: 0.000
Space-group type: Pm-3m, No. 221
Formation energy without anion corrections in meV per atom: -342
M_tot in μB per formula unit: 0.00
DOS(E_F) in states/eV/cell: 3.01

---

6.
## NaMgBr2 (PBE)

Data for a relaxed NaMgBr2 crystal.

The structure in POSCAR format:
```
NaMgBr2
1.0
-3.243 3.243 7.046
3.243 -3.243 7.046
3.243 3.243 -7.046
Na Mg Br
2 2 4
direct
0.000 0.000 0.000
0.750 0.250 0.500
0.250 0.750 0.500
0.500 0.500 0.000
0.146 0.625 0.021
0.375 0.396 0.521
0.604 0.125 0.979
0.875 0.854 0.479
```

Values from the calculation:
Crystal system: tetragonal
Relative energy among the computed polymorphs in kcal/mol of atoms: 1.475
Space-group type: I-42d, No. 122
Formation energy without anion corrections in meV per atom: -980
M_tot in μB per formula unit: 0.00
DOS(E_F) in states/eV/cell: 0.51